# 1
The following is a DFT calculation (PBE) of NdMg2Pd2 after structural relaxation.

The structure in CIF format:
```
data_NdMg2Pd2
_chemical_formula_sum 'Nd2 Mg4 Pd4'
_cell_length_a 5.132
_cell_length_b 4.819
_cell_length_c 8.747
_cell_angle_alpha 90.00
_cell_angle_beta 99.94
_cell_angle_gamma 90.00
_symmetry_space_group_name_H-M 'P 1 21/m 1'
_symmetry_Int_Tables_number 11
_symmetry_space_group_name_Hall '-P 2yb'
loop_
_atom_site_label
_atom_site_type_symbol
_atom_site_fract_x
_atom_site_fract_y
_atom_site_fract_z
Nd1 Nd 0.181 0.250 0.279
Mg1 Mg 0.285 0.250 0.657
Mg2 Mg 0.352 0.750 0.988
Pd1 Pd 0.114 0.250 0.926
Pd2 Pd 0.279 0.750 0.498
```

## Properties
ΔE_f   -3.1 eV per formula unit

---

# 2
The following is a DFT calculation (PBE) of TaAl2Zn after structural relaxation.

The structure in CIF format:
```
data_TaAl2Zn
_chemical_formula_sum 'Ta1 Al2 Zn1'
_cell_length_a 3.236
_cell_length_b 3.236
_cell_length_c 6.139
_cell_angle_alpha 90.00
_cell_angle_beta 90.00
_cell_angle_gamma 90.00
_symmetry_space_group_name_H-M 'P 4 m m'
_symmetry_Int_Tables_number 99
_symmetry_space_group_name_Hall 'P 4 -2'
loop_
_atom_site_label
_atom_site_type_symbol
_atom_site_fract_x
_atom_site_fract_y
_atom_site_fract_z
Ta1 Ta 0.000 0.000 0.000
Al1 Al 0.000 0.000 0.487
Al2 Al 0.500 0.500 0.737
Zn1 Zn 0.500 0.500 0.273
```

## Properties
ΔE_f   0.2 eV per formula unit

---

# 3
The following is a DFT calculation (PBE) of Li2CuAsO4 after structural relaxation.

The structure in CIF format:
```
data_Li2CuAsO4
_chemical_formula_sum 'Li4 Cu2 As2 O8'
_cell_length_a 6.035
_cell_length_b 5.182
_cell_length_c 6.342
_cell_angle_alpha 90.00
_cell_angle_beta 91.04
_cell_angle_gamma 90.00
_symmetry_space_group_name_H-M 'P 1 21 1'
_symmetry_Int_Tables_number 4
_symmetry_space_group_name_Hall 'P 2yb'
loop_
_atom_site_label
_atom_site_type_symbol
_atom_site_fract_x
_atom_site_fract_y
_atom_site_fract_z
Li1 Li 0.040 0.000 0.326
Li2 Li 0.209 0.493 0.040
Cu1 Cu 0.383 0.615 0.499
As1 As 0.259 0.011 0.797
O1 O 0.097 0.154 0.605
O2 O 0.149 0.100 0.033
O3 O 0.254 0.674 0.763
O4 O 0.464 0.603 0.217
```

## Properties
E_form (uncorrected)   -1447 meV per atom
Relative energy among the computed polymorphs   38 meV per atom

---

# 4
The following is a DFT calculation (PBE) of Rb2TlSbI6 after structural relaxation.

The structure in CIF format:
```
data_Rb2TlSbI6
_chemical_formula_sum 'Rb4 Tl2 Sb2 I12'
_cell_length_a 8.530
_cell_length_b 9.121
_cell_length_c 14.995
_cell_angle_alpha 90.00
_cell_angle_beta 124.29
_cell_angle_gamma 90.00
_symmetry_space_group_name_H-M 'P 1 21/c 1'
_symmetry_Int_Tables_number 14
_symmetry_space_group_name_Hall '-P 2ybc'
loop_
_atom_site_label
_atom_site_type_symbol
_atom_site_fract_x
_atom_site_fract_y
_atom_site_fract_z
Rb1 Rb 0.218 0.087 0.250
Tl1 Tl 0.000 0.000 0.500
Sb1 Sb 0.500 0.000 0.000
I1 I 0.154 0.178 0.948
I2 I 0.273 0.715 0.945
I3 I 0.377 0.028 0.766
```

## Properties
E_form (uncorrected)   -877 meV per atom
Relative energy among the computed polymorphs   0 meV per atom

---

# 5
The following is a DFT calculation (PBE) of ScMn2Te after structural relaxation.

The structure in CIF format:
```
data_ScMn2Te
_chemical_formula_sum 'Sc1 Mn2 Te1'
_cell_length_a 3.627
_cell_length_b 3.627
_cell_length_c 5.790
_cell_angle_alpha 90.00
_cell_angle_beta 90.00
_cell_angle_gamma 90.00
_symmetry_space_group_name_H-M 'P 4/m m m'
_symmetry_Int_Tables_number 123
_symmetry_space_group_name_Hall '-P 4 2'
loop_
_atom_site_label
_atom_site_type_symbol
_atom_site_fract_x
_atom_site_fract_y
_atom_site_fract_z
Sc1 Sc 0.000 0.000 0.000
Mn1 Mn 0.500 0.500 0.244
Te1 Te 0.000 0.000 0.500
```

## Properties
E_form (uncorrected)   -28 meV per atom

---

# 6
The following is a DFT calculation (PBE) of MnZnCo3 after structural relaxation.

The structure in CIF format:
```
data_MnZnCo3
_chemical_formula_sum 'Mn1 Zn1 Co3'
_cell_length_a 4.151
_cell_length_b 4.151
_cell_length_c 4.151
_cell_angle_alpha 90.00
_cell_angle_beta 90.00
_cell_angle_gamma 90.00
_symmetry_space_group_name_H-M 'P m -3 m'
_symmetry_Int_Tables_number 221
_symmetry_space_group_name_Hall '-P 4 2 3'
loop_
_atom_site_label
_atom_site_type_symbol
_atom_site_fract_x
_atom_site_fract_y
_atom_site_fract_z
Mn1 Mn 0.000 0.000 0.000
Zn1 Zn 0.500 0.500 0.500
Co1 Co 0.000 0.000 0.500
```

## Properties
ΔE_f   5.5 eV per formula unit
Relative energy among the computed polymorphs   1099 meV per atom

---

# 7
The following is a DFT calculation (PBE) of Tm2PaGa after structural relaxation.

The structure in CIF format:
```
data_Tm2PaGa
_chemical_formula_sum 'Tm2 Pa1 Ga1'
_cell_length_a 4.674
_cell_length_b 4.674
_cell_length_c 4.449
_cell_angle_alpha 90.00
_cell_angle_beta 90.00
_cell_angle_gamma 90.00
_symmetry_space_group_name_H-M 'P 4/m m m'
_symmetry_Int_Tables_number 123
_symmetry_space_group_name_Hall '-P 4 2'
loop_
_atom_site_label
_atom_site_type_symbol
_atom_site_fract_x
_atom_site_fract_y
_atom_site_fract_z
Tm1 Tm 0.000 0.500 0.000
Pa1 Pa 0.000 0.000 0.500
Ga1 Ga 0.500 0.500 0.500
```

## Properties
ΔE_f   -0.3 eV per formula unit
Relative energy among the computed polymorphs   116 meV per atom

---

# 8
The following is a DFT calculation (PBE) of MgTlFeCl5 after structural relaxation.

The structure in CIF format:
```
data_MgTlFeCl5
_chemical_formula_sum 'Mg4 Tl4 Fe4 Cl20'
_cell_length_a 8.766
_cell_length_b 11.672
_cell_length_c 9.297
_cell_angle_alpha 90.00
_cell_angle_beta 112.77
_cell_angle_gamma 90.00
_symmetry_space_group_name_H-M 'C 1 2/c 1'
_symmetry_Int_Tables_number 15
_symmetry_space_group_name_Hall '-C 2yc'
loop_
_atom_site_label
_atom_site_type_symbol
_atom_site_fract_x
_atom_site_fract_y
_atom_site_fract_z
Mg1 Mg 0.000 0.000 0.000
Tl1 Tl 0.000 0.336 0.250
Fe1 Fe 0.000 0.314 0.750
Cl1 Cl 0.000 0.066 0.250
Cl2 Cl 0.103 0.201 0.605
Cl3 Cl 0.194 0.431 0.930
```

## Properties
E_form (uncorrected)   -1191 meV per atom

---

# 9
The following is a DFT calculation (PBE) of TiNbNiRu after structural relaxation.

The structure in CIF format:
```
data_TiNbNiRu
_chemical_formula_sum 'Ti4 Nb4 Ni4 Ru4'
_cell_length_a 6.207
_cell_length_b 6.207
_cell_length_c 6.207
_cell_angle_alpha 90.00
_cell_angle_beta 90.00
_cell_angle_gamma 90.00
_symmetry_space_group_name_H-M 'F -4 3 m'
_symmetry_Int_Tables_number 216
_symmetry_space_group_name_Hall 'F -4 2 3'
loop_
_atom_site_label
_atom_site_type_symbol
_atom_site_fract_x
_atom_site_fract_y
_atom_site_fract_z
Ti1 Ti 0.000 0.000 0.000
Nb1 Nb 0.000 0.000 0.500
Ni1 Ni 0.250 0.250 0.750
Ru1 Ru 0.250 0.250 0.250
```

## Properties
ΔE_f   -1.2 eV per formula unit

---

# 10
The following is a DFT calculation (PBE) of AcPd2Pb after structural relaxation.

The structure in CIF format:
```
data_AcPd2Pb
_chemical_formula_sum 'Ac4 Pd8 Pb4'
_cell_length_a 7.812
_cell_length_b 4.721
_cell_length_c 10.753
_cell_angle_alpha 90.00
_cell_angle_beta 90.00
_cell_angle_gamma 90.00
_symmetry_space_group_name_H-M 'P n m a'
_symmetry_Int_Tables_number 62
_symmetry_space_group_name_Hall '-P 2ac 2n'
loop_
_atom_site_label
_atom_site_type_symbol
_atom_site_fract_x
_atom_site_fract_y
_atom_site_fract_z
Ac1 Ac 0.161 0.250 0.148
Pd1 Pd 0.103 0.250 0.844
Pd2 Pd 0.246 0.750 0.946
Pb1 Pb 0.041 0.750 0.391
```

## Properties
ΔE_f   -2.6 eV per formula unit

---

no.,raw total energy (Ry per atom),density of states at the Fermi level (states/eV per cell)
1,-0.315,3.7
2,-0.376,2.7
3,-0.404,0.0
4,-0.195,0.0
5,-0.513,3.4
6,-0.386,7.6
7,-0.400,3.9
8,-0.286,25.4
9,-0.630,16.6
10,-0.382,7.9